[1]
Compound: AgPbW2
Source: the Alexandria database
Functional: GGA-PBEsol
Structure: optimized geometry

```
4
Lattice="3.224 0.000 0.000 0.000 4.587 0.000 -1.612 -2.294 4.765" Properties=species:S:1:pos:R:3 pbc="T T T"
W 1.612 2.294 2.359
W 0.000 0.000 2.406
Pb 0.000 2.294 0.000
Ag 1.612 0.000 0.000
```

ΔE to the lowest computed polymorph: 0 meV per atom
crystal system: orthorhombic
total magnetization: 0.00 Bohr magnetons per cell
symmetry: Immm


[2]
Compound: Ag2PbW
Source: the Alexandria database
Functional: GGA-PBEsol
Structure: optimized geometry

```
4
Lattice="-1.777 -3.219 -3.013 2.841 -2.105 -3.178 1.125 -4.593 0.492" Properties=species:S:1:pos:R:3 pbc="T T T"
Pb 0.000 0.000 0.000
Ag 1.642 -7.437 -4.274
W 1.095 -4.958 -2.849
Ag 0.547 -2.479 -1.425
```

ΔE to the lowest computed polymorph: 391 meV per atom
crystal system: cubic
total magnetization: 2.58 Bohr magnetons per cell
symmetry: Fm-3m


[3]
Compound: Ag2PbW
Source: the Alexandria database
Functional: GGA-PBEsol
Structure: optimized geometry

```
4
Lattice="-3.401 -0.347 2.172 2.200 -0.553 3.356 0.010 4.319 0.706" Properties=species:S:1:pos:R:3 pbc="T T T"
Pb -0.596 1.709 3.117
W 0.005 2.159 0.353
Ag 1.100 -0.277 1.678
Ag -1.701 -0.174 1.086
```

ΔE to the lowest computed polymorph: 70 meV per atom
crystal system: tetragonal
total magnetization: 0.27 Bohr magnetons per cell
symmetry: P4/mmm


[4]
Compound: AgPbW2
Source: the Alexandria database
Functional: GGA-PBEsol
Structure: optimized geometry

```
4
Lattice="-2.230 -1.865 -0.716 1.791 -0.431 -4.456 2.674 -3.747 1.437" Properties=species:S:1:pos:R:3 pbc="T T T"
W 0.896 -0.215 -2.228
W 1.337 -1.874 0.718
Ag 1.118 -3.022 -1.868
Pb -1.115 -0.933 -0.358
```

ΔE to the lowest computed polymorph: 286 meV per atom
crystal system: tetragonal
total magnetization: 0.00 Bohr magnetons per cell
symmetry: P4/mmm


[5]
Compound: YAg2Pb
Source: the Alexandria database
Functional: GGA-PBEsol
Structure: optimized geometry

```
4
Lattice="-0.798 -4.037 -2.646 -0.262 -0.243 4.972 -4.360 -0.548 2.151" Properties=species:S:1:pos:R:3 pbc="T T T"
Pb 0.000 0.000 0.000
Y -2.579 -2.293 -0.248
Ag -3.999 -3.560 2.114
Ag -1.420 -1.268 2.362
```

crystal system: tetragonal
total magnetization: 0.00 Bohr magnetons per cell
symmetry: I4/mmm


[6]
Compound: YAgPb
Source: the Alexandria database
Functional: GGA-PBEsol
Structure: optimized geometry

```
3
Lattice="-0.859 2.447 -2.412 -4.642 -1.048 0.591 2.057 3.385 2.702" Properties=species:S:1:pos:R:3 pbc="T T T"
Ag -0.722 2.055 -2.025
Y -2.696 1.247 0.490
Pb -0.886 3.930 0.006
```

crystal system: trigonal
total magnetization: 0.00 Bohr magnetons per cell
symmetry: P3m1


[7]
Compound: YAgPb
Source: the Alexandria database
Functional: GGA-PBEsol
Structure: optimized geometry

```
9
Lattice="4.493 0.000 0.000 0.000 7.389 0.000 0.000 -3.694 6.399" Properties=species:S:1:pos:R:3 pbc="T T T"
Pb 0.000 0.000 4.266
Y 2.246 4.218 0.000
Ag 0.000 -0.904 1.565
Ag 0.000 2.791 4.834
Y 2.246 1.585 2.746
Pb 0.000 3.694 2.133
Y 2.246 -2.109 3.653
Ag 0.000 1.807 0.000
Pb 2.246 0.000 0.000
```

crystal system: hexagonal
total magnetization: 0.00 Bohr magnetons per cell
symmetry: P-62m


[8]
Compound: YAg2Pb
Source: the Alexandria database
Functional: GGA-PBEsol
Structure: optimized geometry

```
4
Lattice="4.448 0.000 0.000 0.000 4.448 0.000 0.000 0.000 4.417" Properties=species:S:1:pos:R:3 pbc="T T T"
Ag 2.224 0.000 0.000
Ag 0.000 2.224 0.000
Y 0.000 0.000 2.209
Pb 2.224 2.224 2.209
```

crystal system: tetragonal
total magnetization: 0.00 Bohr magnetons per cell
symmetry: P4/mmm


[9]
Compound: YAgPb
Source: the Alexandria database
Functional: GGA-PBEsol
Structure: optimized geometry

```
3
Lattice="3.561 0.000 0.000 0.000 4.488 0.000 -1.780 -2.244 4.547" Properties=species:S:1:pos:R:3 pbc="T T T"
Ag 1.780 2.244 4.519
Pb 1.780 2.244 1.532
Y 0.000 0.000 3.043
```

crystal system: orthorhombic
total magnetization: 0.00 Bohr magnetons per cell
symmetry: Imm2


[10]
Compound: YAg2Pb
Source: the Alexandria database
Functional: GGA-PBEsol
Structure: optimized geometry

```
4
Lattice="-2.388 -0.488 4.309 1.589 -3.276 3.353 2.111 1.575 4.192" Properties=species:S:1:pos:R:3 pbc="T T T"
Ag 0.000 0.000 0.000
Ag 0.984 -1.642 8.890
Pb 0.656 -1.094 5.927
Y 0.328 -0.547 2.963
```

crystal system: cubic
total magnetization: 0.00 Bohr magnetons per cell
symmetry: F-43m


[11]
Compound: ZnAgPb
Source: the Alexandria database
Functional: GGA-PBEsol
Structure: optimized geometry

```
3
Lattice="3.548 0.000 0.000 0.000 4.526 0.000 0.000 -2.263 3.920" Properties=species:S:1:pos:R:3 pbc="T T T"
Zn 1.774 2.263 1.307
Ag 1.774 0.000 0.000
Pb 0.000 0.000 2.613
```

crystal system: hexagonal
total magnetization: 0.00 Bohr magnetons per cell
symmetry: P-6m2


[12]
Compound: ZnAg2Pb
Source: the Alexandria database
Functional: GGA-PBEsol
Structure: optimized geometry

```
4
Lattice="-0.529 -3.016 -0.621 4.577 1.069 -1.234 0.626 -1.217 5.373" Properties=species:S:1:pos:R:3 pbc="T T T"
Zn 1.923 -1.942 -0.064
Ag 0.047 -0.030 0.104
Ag 2.719 -1.184 3.433
Pb 4.611 -1.054 1.188
```

ΔE to the lowest computed polymorph: 68 meV per atom
crystal system: monoclinic
total magnetization: 0.00 Bohr magnetons per cell
symmetry: Cm


| no. | energy of formation (meV/atom) | D(E_F) (states/eV per atom) | final energy (eV per atom) |
| --- | --- | --- | --- |
| 1 | 890 | 0.595 | -7.842 |
| 2 | 1068 | 0.621 | -5.039 |
| 3 | 747 | 0.649 | -5.360 |
| 4 | 1176 | 0.706 | -7.556 |
| 5 | -283 | 0.364 | -4.643 |
| 6 | -395 | 0.576 | -5.106 |
| 7 | -456 | 0.131 | -5.167 |
| 8 | -242 | 0.534 | -4.603 |
| 9 | -204 | 0.674 | -4.915 |
| 10 | -250 | 0.378 | -4.611 |
| 11 | 148 | 0.339 | -2.816 |
| 12 | 126 | 0.328 | -2.925 |